The following is a PBE calculation of RbV4B2 after structural relaxation, from Alexandria via LeMat-Bulk.

The value obtained for the formation energy is 42.386 kcal/mol of atoms. The calculation puts the electronic total energy at -37.931 eV for the cell shown. The total moment is 0.33 μB/f.u.

Cell and atoms, written as extended XYZ:
```
7
Lattice="4.586 0.000 0.000 0.000 4.586 0.000 2.293 2.293 5.399" Properties=species:S:1:pos:R:3 pbc="T T T"
B 4.586 4.586 4.607
B 2.293 2.293 0.792
Rb 0.000 0.000 0.000
V 4.586 4.586 2.689
V 2.293 2.293 2.710
V 0.000 2.293 0.000
V 2.293 0.000 0.000
```

=====

The following is a PBE calculation of RbVB3 after structural relaxation, from Alexandria via LeMat-Bulk.

The value obtained for the formation energy is 30.022 kcal/mol of atoms. The calculation puts the electronic total energy at -23.609 eV for the cell shown. The total moment is 0.00 μB/f.u. As for the energy above the most stable polymorph in this dataset: 0.00 eV/f.u.

Cell and atoms, written as extended XYZ:
```
5
Lattice="-0.300 -4.075 1.399 3.448 0.614 2.528 -2.584 1.292 3.211" Properties=species:S:1:pos:R:3 pbc="T T T"
B 1.724 0.307 1.264
B -1.292 0.646 1.605
B -0.150 -2.038 0.699
Rb 0.282 -1.085 3.569
V 0.000 0.000 0.000
```

=====

The following is a PBE calculation of RbY2VB after structural relaxation, from Alexandria via LeMat-Bulk.

The value obtained for the formation energy is 28.452 kcal/mol of atoms. The calculation puts the electronic total energy at -23.523 eV for the cell shown. The total moment is 0.53 μB/f.u.

Cell and atoms, written as extended XYZ:
```
5
Lattice="-1.434 1.408 -4.676 -5.579 -0.537 1.550 -0.056 4.868 1.484" Properties=species:S:1:pos:R:3 pbc="T T T"
Y -0.028 2.434 0.742
Y -0.717 0.704 -2.338
B 0.000 0.000 0.000
Rb -2.790 -0.268 0.775
V -3.535 2.870 -0.821
```

=====

The following is a PBE calculation of RbB3W after structural relaxation, from Alexandria via LeMat-Bulk.

The value obtained for the formation energy is 90.574 kcal/mol of atoms. The calculation puts the electronic total energy at -14.315 eV for the cell shown. The total moment is 0.00 μB/f.u. As for the energy above the most stable polymorph in this dataset: 14.30 eV/f.u.

Cell and atoms, written as extended XYZ:
```
5
Lattice="4.161 0.000 0.000 0.000 4.161 0.000 0.000 0.000 4.161" Properties=species:S:1:pos:R:3 pbc="T T T"
B 0.000 2.081 0.000
B 0.000 0.000 2.081
B 2.081 0.000 0.000
Rb 0.000 0.000 0.000
W 2.081 2.081 2.081
```

=====

The following is a PBE calculation of RbBW3 after structural relaxation, from Alexandria via LeMat-Bulk.

The value obtained for the formation energy is 111.421 kcal/mol of atoms. The calculation puts the electronic total energy at -22.346 eV for the cell shown. The total moment is 0.00 μB/f.u. As for the energy above the most stable polymorph in this dataset: 15.60 eV/f.u.

Cell and atoms, written as extended XYZ:
```
5
Lattice="-1.040 -1.965 -4.122 4.416 0.641 -1.420 1.160 -4.202 1.711" Properties=species:S:1:pos:R:3 pbc="T T T"
B 2.268 -2.763 -1.916
Rb 0.000 0.000 0.000
W 2.208 0.321 -0.710
W 0.580 -2.101 0.855
W -0.520 -0.982 -2.061
```

=====

The following is a PBE calculation of RbBW3 after structural relaxation, from Alexandria via LeMat-Bulk.

The value obtained for the formation energy is 39.481 kcal/mol of atoms. The calculation puts the electronic total energy at -37.944 eV for the cell shown. The total moment is 0.00 μB/f.u. As for the energy above the most stable polymorph in this dataset: 0.00 eV/f.u.

Cell and atoms, written as extended XYZ:
```
5
Lattice="-1.916 2.061 3.440 -3.735 -2.305 -0.699 1.460 -3.192 2.725" Properties=species:S:1:pos:R:3 pbc="T T T"
B 0.000 0.000 0.000
Rb -2.095 -1.718 2.733
W -1.867 -1.152 -0.350
W 0.730 -1.596 1.363
W -0.958 1.030 1.720
```

=====

The following is a PBE calculation of RbBW2 after structural relaxation, from Alexandria via LeMat-Bulk.

The value obtained for the formation energy is 42.248 kcal/mol of atoms. The calculation puts the electronic total energy at -52.446 eV for the cell shown. The total moment is 1.02 μB/f.u.

Cell and atoms, written as extended XYZ:
```
8
Lattice="6.585 0.000 0.000 0.000 6.585 0.000 3.292 3.292 4.650" Properties=species:S:1:pos:R:3 pbc="T T T"
B 3.292 3.292 0.000
B 3.292 6.585 2.325
Rb 0.000 0.000 0.000
Rb 6.585 3.292 2.325
W 3.292 1.646 1.162
W 3.293 4.938 1.162
W 4.938 6.585 3.487
W 8.231 6.584 3.487
```

=====

The following is a PBE calculation of Rb2B4W after structural relaxation, from Alexandria via LeMat-Bulk.

The value obtained for the formation energy is 26.508 kcal/mol of atoms. The calculation puts the electronic total energy at -33.552 eV for the cell shown. The total moment is 0.00 μB/f.u.

Cell and atoms, written as extended XYZ:
```
7
Lattice="-0.864 -3.042 -3.091 4.091 -1.617 0.447 -1.087 -7.535 4.556" Properties=species:S:1:pos:R:3 pbc="T T T"
B 2.576 -5.913 -1.228
B -0.437 -6.282 3.140
B 2.046 -0.809 0.224
B -0.432 -1.521 -1.546
Rb 1.351 -8.274 1.437
Rb 0.788 -3.921 0.475
W 0.000 0.000 0.000
```

=====

The following is a PBE calculation of RbB3W after structural relaxation, from Alexandria via LeMat-Bulk.

The value obtained for the formation energy is 24.608 kcal/mol of atoms. The calculation puts the electronic total energy at -28.617 eV for the cell shown. The total moment is 0.00 μB/f.u. As for the energy above the most stable polymorph in this dataset: 0.00 eV/f.u.

Cell and atoms, written as extended XYZ:
```
5
Lattice="-2.803 -3.217 1.050 1.822 -0.285 3.988 -2.852 2.979 1.516" Properties=species:S:1:pos:R:3 pbc="T T T"
B 0.911 -0.143 1.994
B -1.426 1.490 0.758
B -1.401 -1.609 0.525
Rb -1.916 -0.262 3.277
W 0.000 0.000 0.000
```

=====

The following is a PBE calculation of Rb3YB after structural relaxation, from Alexandria via LeMat-Bulk.

The value obtained for the formation energy is 29.928 kcal/mol of atoms. The calculation puts the electronic total energy at -9.555 eV for the cell shown. The total moment is 0.00 μB/f.u. As for the energy above the most stable polymorph in this dataset: 0.00 eV/f.u.

Cell and atoms, written as extended XYZ:
```
5
Lattice="6.366 0.000 0.000 0.000 6.366 0.000 0.000 0.000 6.366" Properties=species:S:1:pos:R:3 pbc="T T T"
Y 3.183 3.183 3.183
B 0.000 0.000 0.000
Rb 0.000 3.183 0.000
Rb 0.000 0.000 3.183
Rb 3.183 0.000 0.000
```

=====

The following is a PBE calculation of Rb3YB after structural relaxation, from Alexandria via LeMat-Bulk.

The value obtained for the formation energy is 42.384 kcal/mol of atoms. The calculation puts the electronic total energy at -6.854 eV for the cell shown. The total moment is 5.00 μB/f.u. As for the energy above the most stable polymorph in this dataset: 2.70 eV/f.u.

Cell and atoms, written as extended XYZ:
```
5
Lattice="7.443 0.000 0.000 0.000 7.443 0.000 0.000 0.000 7.443" Properties=species:S:1:pos:R:3 pbc="T T T"
Y 0.000 0.000 0.000
B 3.722 3.722 3.722
Rb 0.000 3.722 0.000
Rb 0.000 0.000 3.722
Rb 3.722 0.000 0.000
```

=====

The following is a PBE calculation of RbY2B after structural relaxation, from Alexandria via LeMat-Bulk.

The value obtained for the formation energy is 13.154 kcal/mol of atoms. The calculation puts the electronic total energy at -36.583 eV for the cell shown. The total moment is 0.00 μB/f.u.

Cell and atoms, written as extended XYZ:
```
8
Lattice="7.891 0.000 0.000 0.000 7.891 0.000 3.945 3.945 5.323" Properties=species:S:1:pos:R:3 pbc="T T T"
Y 3.549 1.973 1.331
Y 4.342 5.918 1.331
Y 5.918 8.287 3.992
Y 9.863 7.494 3.992
B 3.945 3.945 0.000
B 3.945 7.891 2.661
Rb 0.000 0.000 0.000
Rb 7.891 3.945 2.661
```

=====

The following is a PBE calculation of Rb2ZnB after structural relaxation, from Alexandria via LeMat-Bulk.

The value obtained for the formation energy is 11.491 kcal/mol of atoms. The calculation puts the electronic total energy at -15.787 eV for the cell shown. The total moment is 0.00 μB/f.u. As for the energy above the most stable polymorph in this dataset: 0.00 eV/f.u.

Cell and atoms, written as extended XYZ:
```
8
Lattice="12.841 0.000 0.000 0.000 12.841 0.000 6.421 6.421 2.010" Properties=species:S:1:pos:R:3 pbc="T T T"
Zn 0.000 0.000 0.000
Zn 12.841 6.421 1.005
B 6.421 6.421 0.000
B 6.421 12.841 1.005
Rb 7.091 3.210 0.503
Rb 5.751 9.631 0.503
Rb 9.631 12.171 1.508
Rb 16.052 13.511 1.508
```

=====

The following is a PBE calculation of Rb3ZnB after structural relaxation, from Alexandria via LeMat-Bulk.

The value obtained for the formation energy is 20.223 kcal/mol of atoms. The calculation puts the electronic total energy at -6.469 eV for the cell shown. The total moment is 1.34 μB/f.u. As for the energy above the most stable polymorph in this dataset: 0.00 eV/f.u.

Cell and atoms, written as extended XYZ:
```
5
Lattice="-0.773 -3.520 5.271 -2.296 -4.794 -3.538 5.908 -2.323 -0.685" Properties=species:S:1:pos:R:3 pbc="T T T"
Zn 1.420 -5.319 0.524
B 0.000 0.000 0.000
Rb -1.148 -2.397 -1.769
Rb 2.954 -1.162 -0.342
Rb -0.387 -1.760 2.636
```